1.
# PBEsol YGaPd2, relaxed
data_YGaPd2
_cell_length_a 7.271
_cell_length_b 7.060
_cell_length_c 5.508
_cell_angle_alpha 90.00
_cell_angle_beta 90.00
_cell_angle_gamma 90.00
_space_group_name_H-M_alt 'P n m a'
_space_group_IT_number 62
loop_
_space_group_symop_operation_xyz
'x,y,z'
'-x,-y,-z'
'-x+1/2,-y,z+1/2'
'x+1/2,y,-z+1/2'
'x+1/2,-y+1/2,-z+1/2'
'-x+1/2,y+1/2,z+1/2'
'-x,y+1/2,-z'
'x,-y+1/2,z'
loop_
_atom_site_label
_atom_site_fract_x
_atom_site_fract_y
_atom_site_fract_z
Y1 0.030 0.250 0.141
Ga1 0.116 0.750 0.359
Pd1 0.182 0.052 0.590
# Fermi-level density of states = 2.298 states/eV/f.u.
# VASP energy = -6.43 eV per atom

---

2.
# PBEsol Y2Ga2Pd, relaxed
data_Y2Ga2Pd
_cell_length_a 6.868
_cell_length_b 6.868
_cell_length_c 4.297
_cell_angle_alpha 90.00
_cell_angle_beta 90.00
_cell_angle_gamma 90.00
_space_group_name_H-M_alt 'P 4/m b m'
_space_group_IT_number 127
_space_group_name_Hall '-P 4 2ab'
loop_
_atom_site_label
_atom_site_fract_x
_atom_site_fract_y
_atom_site_fract_z
Y1 0.171 0.329 0.000
Ga1 0.133 0.633 0.500
Pd1 0.000 0.000 0.500
# Fermi-level density of states = 3.224 states/eV/f.u.
# VASP energy = -6.03 eV per atom

---

3.
# PBEsol YGa2Pd, relaxed
data_YGa2Pd
_cell_length_a 4.376
_cell_length_b 10.028
_cell_length_c 6.504
_cell_angle_alpha 90.00
_cell_angle_beta 90.00
_cell_angle_gamma 90.00
_space_group_name_H-M_alt 'C m c m'
_space_group_IT_number 63
_space_group_name_Hall '-C 2c 2'
loop_
_atom_site_label
_atom_site_fract_x
_atom_site_fract_y
_atom_site_fract_z
Y1 0.000 0.088 0.250
Ga1 0.000 0.373 0.054
Pd1 0.000 0.201 0.750
# Fermi-level density of states = 1.795 states/eV/f.u.
# VASP energy = -5.73 eV per atom